Computed, not measured: crystalline LiTeW2 at its relaxed geometry at the PBE-GGA level of DFT.

Output
For the uncorrected formation energy, the calculation gives 52.46 kJ/mol of atoms.

Cell lengths 8.682, 3.275, 5.085 Å; angles 90.00, 101.19, 90.00 degrees
Positions (direct):
Li (0.000, 0.000, 0.000)
Li (0.500, 0.500, 0.000)
Te (0.246, 0.000, 0.772)
Te (0.746, 0.500, 0.772)
W (0.263, 0.500, 0.270)
W (0.484, 0.000, 0.471)
W (0.763, 0.000, 0.270)
W (0.984, 0.500, 0.471)

=====

Computed, not measured: crystalline Pm4TlGa at its relaxed geometry at the PBE-GGA level of DFT.

Output
The calculation puts the excess energy over the best structure of this formula in the dataset at 97 kJ/mol of formula units.

Cell lengths 5.160, 5.160, 7.435 Å; angles 90.00, 90.00, 90.00 degrees
Positions (direct):
Pm (0.000, 0.500, 0.235)
Pm (0.000, 0.500, 0.765)
Pm (0.500, 0.000, 0.235)
Pm (0.500, 0.000, 0.765)
Tl (0.000, 0.000, 0.500)
Ga (0.500, 0.500, 0.000)

=====

Computed, not measured: crystalline La6AgPd2 at its relaxed geometry at the PBE-GGA level of DFT.

Output
The calculation puts the excess energy over the best structure of this formula in the dataset at 69 kJ/mol of formula units.

Cell lengths 6.848, 7.741, 12.550 Å; angles 90.00, 121.96, 90.00 degrees
Positions (direct):
La (0.061, 0.195, 0.419)
La (0.061, 0.305, 0.919)
La (0.260, 0.649, 0.441)
La (0.260, 0.851, 0.941)
La (0.412, 0.067, 0.236)
La (0.412, 0.433, 0.736)
La (0.588, 0.567, 0.264)
La (0.588, 0.933, 0.764)
La (0.740, 0.149, 0.059)
La (0.740, 0.351, 0.559)
La (0.939, 0.695, 0.081)
La (0.939, 0.805, 0.581)
Ag (0.500, 0.000, 0.500)
Ag (0.500, 0.500, 0.000)
Pd (0.160, 0.116, 0.731)
Pd (0.160, 0.384, 0.231)
Pd (0.840, 0.616, 0.769)
Pd (0.840, 0.884, 0.269)

=====

Computed, not measured: crystalline PmNd4DyEr2 at its relaxed geometry at the PBE-GGA level of DFT.

Output
The final energy comes out at -0.1719 hartree per atom.

Cell lengths 6.263, 3.629, 11.917 Å; angles 90.00, 100.19, 90.00 degrees
Positions (direct):
Pm (0.000, 0.000, 0.000)
Nd (0.251, 0.000, 0.750)
Nd (0.251, 0.500, 0.253)
Nd (0.749, 0.000, 0.250)
Nd (0.749, 0.500, 0.747)
Dy (0.000, 0.500, 0.500)
Er (0.500, 0.000, 0.500)
Er (0.500, 0.500, 0.000)

=====

D(E_F) (states/eV/cell)
4.267 9.686 23.335 10.625
Magnetization (μB/f.u.)
0.00 0.00 0.00 0.00